Entry from Alexandria: P2PdPtO after structural relaxation (GGA-PBE).

Computed properties:
Calculated total energy = -4.889 eV per atom
Energy relative to the lowest polymorph listed for this composition = 0 meV/atom
Formation energy (no corrections) = 0.51 eV per atom
Calculated volume = 17.26 A^3/atom
Magnetic moment = 0.4 μB per formula unit
DOS at the Fermi energy = 1.016 states/eV per atom

Cell: 4.825 4.825 3.706 Å, 90.00 90.00 90.00°
Fractional coordinates of all 5 atoms:
P: 0.000 0.500 0.000
P: 0.500 0.000 0.000
Pd: 0.000 0.000 0.500
Pt: 0.500 0.500 0.000
O: 0.500 0.500 0.500

Entry from Alexandria: BeZnTe2S after structural relaxation (GGA-PBE).

Computed properties:
Calculated total energy = -3.418 eV per atom
Energy relative to the lowest polymorph listed for this composition = 74 meV/atom
Formation energy (no corrections) = -0.34 eV per atom
Calculated volume = 25.05 A^3/atom
Magnetic moment = 0.0 μB per formula unit
DOS at the Fermi energy = 0.476 states/eV per atom

Cell: 6.812 6.812 6.562 Å, 116.23 116.23 27.51°
Fractional coordinates of all 5 atoms:
Be: 0.000 0.000 0.000
Zn: 0.604 0.604 0.676
Te: 0.803 0.803 0.672
Te: 0.946 0.946 0.332
S: 0.594 0.594 0.017

Entry from Alexandria: SiTc2Pb after structural relaxation (GGA-PBE).

Computed properties:
Calculated total energy = -7.211 eV per atom
Energy relative to the lowest polymorph listed for this composition = 82 meV/atom
Formation energy (no corrections) = 0.26 eV per atom
Calculated volume = 16.96 A^3/atom
Magnetic moment = 0.0 μB per formula unit
DOS at the Fermi energy = 0.792 states/eV per atom

Cell: 3.239 3.239 6.466 Å, 90.00 90.00 90.00°
Fractional coordinates of all 4 atoms:
Si: 0.000 0.000 0.000
Tc: 0.000 0.000 0.406
Tc: 0.500 0.500 0.139
Pb: 0.500 0.500 0.671

Entry from Alexandria: AlAgOs2 after structural relaxation (GGA-PBE).

Computed properties:
Calculated total energy = -7.037 eV per atom
Calculated volume = 15.22 A^3/atom
Magnetic moment = 0.0 μB per formula unit
DOS at the Fermi energy = 0.741 states/eV per atom
DFT formation energy = 0.2265 eV/atom

Cell: 5.499 5.499 4.441 Å, 113.65 113.65 29.88°
Fractional coordinates of all 4 atoms:
Al: 0.000 0.000 0.000
Ag: 0.500 0.500 0.500
Os: 0.284 0.284 0.783
Os: 0.716 0.716 0.217

Entry from Alexandria: DyTiHgPb after structural relaxation (GGA-PBE).

Computed properties:
Calculated total energy = -4.260 eV per atom
Calculated volume = 23.77 A^3/atom
Magnetic moment = 2.0 μB per formula unit
DOS at the Fermi energy = 1.199 states/eV per atom
DFT formation energy = -0.1334 eV/atom

Cell: 5.123 5.123 5.123 Å, 60.00 60.00 60.00°
Fractional coordinates of all 4 atoms:
Dy: 0.000 0.000 0.000
Ti: 0.500 0.500 0.500
Hg: 0.250 0.250 0.250
Pb: 0.750 0.750 0.750

Entry from Alexandria: Ho2Tm2Sb2C after structural relaxation (GGA-PBE).

Computed properties:
Calculated total energy = -5.879 eV per atom
Formation energy (no corrections) = -0.80 eV per atom
Calculated volume = 24.87 A^3/atom
Magnetic moment = 0.0 μB per formula unit
DOS at the Fermi energy = 0.861 states/eV per atom

Cell: 8.516 8.516 8.516 Å, 147.88 147.88 46.07°
Fractional coordinates of all 7 atoms:
Ho: 0.158 0.158 0.000
Ho: 0.842 0.842 0.000
Tm: 0.000 0.500 0.500
Tm: 0.500 0.000 0.500
Sb: 0.358 0.358 0.000
Sb: 0.642 0.642 0.000
C: 0.000 0.000 0.000

Entry from Alexandria: CrFe3Pd after structural relaxation (GGA-PBE).

Computed properties:
Calculated total energy = -7.026 eV per atom
Energy relative to the lowest polymorph listed for this composition = 0 meV/atom
Calculated volume = 14.59 A^3/atom
Magnetic moment = 4.9 μB per formula unit
DOS at the Fermi energy = 1.183 states/eV per atom
DFT formation energy = 1.0152 eV/atom

Cell: 4.179 4.179 4.179 Å, 90.00 90.00 90.00°
Fractional coordinates of all 5 atoms:
Cr: 0.000 0.000 0.000
Fe: 0.000 0.000 0.500
Fe: 0.000 0.500 0.000
Fe: 0.500 0.000 0.000
Pd: 0.500 0.500 0.500

Entry from Alexandria: ZrTiIO2 after structural relaxation (GGA-PBE).

Computed properties:
Calculated total energy = -6.613 eV per atom
Energy relative to the lowest polymorph listed for this composition = 209 meV/atom
Formation energy (no corrections) = -1.03 eV per atom
Calculated volume = 17.82 A^3/atom
Magnetic moment = 1.5 μB per formula unit
DOS at the Fermi energy = 0.765 states/eV per atom

Cell: 3.971 3.971 5.651 Å, 90.00 90.00 90.00°
Fractional coordinates of all 5 atoms:
Zr: 0.000 0.000 0.000
Ti: 0.500 0.500 0.500
I: 0.500 0.500 0.000
O: 0.000 0.500 0.500
O: 0.500 0.000 0.500

Entry from Alexandria: Cd2Ni2Ag after structural relaxation (GGA-PBE).

Computed properties:
Calculated total energy = -3.062 eV per atom
Energy relative to the lowest polymorph listed for this composition = 73 meV/atom
Calculated volume = 16.81 A^3/atom
Magnetic moment = 0.0 μB per formula unit
DOS at the Fermi energy = 0.494 states/eV per atom
DFT formation energy = 0.1871 eV/atom

Cell: 7.658 7.658 2.866 Å, 90.00 90.00 90.00°
Fractional coordinates of all 10 atoms:
Cd: 0.171 0.329 0.000
Cd: 0.329 0.829 0.000
Cd: 0.671 0.171 0.000
Cd: 0.829 0.671 0.000
Ni: 0.121 0.621 0.500
Ni: 0.379 0.121 0.500
Ni: 0.621 0.879 0.500
Ni: 0.879 0.379 0.500
Ag: 0.000 0.000 0.000
Ag: 0.500 0.500 0.000

Entry from Alexandria: YMn2Tl after structural relaxation (GGA-PBE).

Computed properties:
Calculated total energy = -6.542 eV per atom
Energy relative to the lowest polymorph listed for this composition = 19 meV/atom
Calculated volume = 20.37 A^3/atom
Magnetic moment = 6.4 μB per formula unit
DOS at the Fermi energy = 1.026 states/eV per atom
DFT formation energy = 0.2504 eV/atom

Cell: 5.403 5.403 5.403 Å, 133.53 133.53 67.82°
Fractional coordinates of all 4 atoms:
Y: 0.000 0.000 0.000
Mn: 0.500 0.500 0.000
Mn: 0.750 0.250 0.500
Tl: 0.250 0.750 0.500

Entry from Alexandria: LiThSc2 after structural relaxation (GGA-PBE).

Computed properties:
Calculated total energy = -5.287 eV per atom
Energy relative to the lowest polymorph listed for this composition = 133 meV/atom
Calculated volume = 27.73 A^3/atom
Magnetic moment = 0.0 μB per formula unit
DOS at the Fermi energy = 1.329 states/eV per atom
DFT formation energy = 0.2120 eV/atom

Cell: 11.453 11.453 11.453 Å, 16.91 16.91 16.91°
Fractional coordinates of all 4 atoms:
Li: 0.000 0.000 0.000
Th: 0.500 0.500 0.500
Sc: 0.089 0.089 0.089
Sc: 0.911 0.911 0.911

Entry from Alexandria: Pm2SmHoBi4 after structural relaxation (GGA-PBE).

Computed properties:
Calculated total energy = -5.199 eV per atom
Calculated volume = 33.20 A^3/atom
Magnetic moment = 0.0 μB per formula unit
DOS at the Fermi energy = 0.151 states/eV per atom
DFT formation energy = -0.9083 eV/atom

Cell: 7.870 4.547 7.871 Å, 90.00 109.48 90.00°
Fractional coordinates of all 8 atoms:
Pm: 0.000 0.000 0.000
Pm: 0.000 0.500 0.500
Sm: 0.500 0.000 0.500
Ho: 0.500 0.500 0.000
Bi: 0.254 0.500 0.248
Bi: 0.256 0.000 0.755
Bi: 0.744 0.000 0.245
Bi: 0.746 0.500 0.752

Entry from Alexandria: KDyTeS after structural relaxation (GGA-PBE).

Computed properties:
Calculated total energy = -4.816 eV per atom
Formation energy (no corrections) = -1.57 eV per atom
Calculated volume = 31.18 A^3/atom
Magnetic moment = 0.0 μB per formula unit

Cell: 8.432 8.432 8.432 Å, 29.01 29.01 29.01°
Fractional coordinates of all 4 atoms:
K: 0.000 0.000 0.000
Dy: 0.155 0.155 0.155
Te: 0.566 0.566 0.566
S: 0.765 0.765 0.765

Entry from Alexandria: AcTb2Sm3Se6 after structural relaxation (GGA-PBE).

Computed properties:
Calculated total energy = -5.831 eV per atom
Formation energy (no corrections) = -1.79 eV per atom
Calculated volume = 26.18 A^3/atom
Magnetic moment = 0.0 μB per formula unit
DOS at the Fermi energy = 0.485 states/eV per atom

Cell: 7.286 7.286 7.270 Å, 99.65 99.65 120.20°
Fractional coordinates of all 12 atoms:
Ac: 0.000 0.000 0.000
Tb: 0.333 0.667 0.000
Tb: 0.667 0.333 0.000
Sm: 0.158 0.842 0.500
Sm: 0.500 0.500 0.500
Sm: 0.842 0.158 0.500
Se: 0.085 0.434 0.254
Se: 0.268 0.268 0.755
Se: 0.434 0.085 0.254
Se: 0.566 0.915 0.746
Se: 0.732 0.732 0.245
Se: 0.915 0.566 0.746

Entry from Alexandria: La2CdAg3Ge4 after structural relaxation (GGA-PBE).

Computed properties:
Calculated total energy = -4.178 eV per atom
Calculated volume = 22.03 A^3/atom
Magnetic moment = 0.0 μB per formula unit
DOS at the Fermi energy = 0.408 states/eV per atom
DFT formation energy = -0.3991 eV/atom

Cell: 4.442 4.442 11.168 Å, 90.00 90.00 90.00°
Fractional coordinates of all 10 atoms:
La: 0.000 0.500 0.247
La: 0.500 0.000 0.753
Cd: 0.000 0.000 0.500
Ag: 0.000 0.500 0.870
Ag: 0.500 0.000 0.130
Ag: 0.500 0.500 0.500
Ge: 0.000 0.000 0.000
Ge: 0.000 0.500 0.644
Ge: 0.500 0.000 0.356
Ge: 0.500 0.500 0.000

Entry from Alexandria: ZrGa2HAu after structural relaxation (GGA-PBE).

Computed properties:
Calculated total energy = -4.503 eV per atom
Calculated volume = 14.99 A^3/atom
Magnetic moment = 0.0 μB per formula unit
DOS at the Fermi energy = 0.357 states/eV per atom

Cell: 4.322 4.322 4.013 Å, 90.00 90.00 90.00°
Fractional coordinates of all 5 atoms:
Zr: 0.000 0.000 0.000
Ga: 0.000 0.500 0.500
Ga: 0.500 0.000 0.500
H: 0.000 0.000 0.500
Au: 0.500 0.500 0.000

Entry from Alexandria: HoCN2 after structural relaxation (GGA-PBE).

Computed properties:
Calculated total energy = -8.247 eV per atom
Formation energy (no corrections) = -0.63 eV per atom
Calculated volume = 13.01 A^3/atom
Magnetic moment = 0.0 μB per formula unit
DOS at the Fermi energy = 0.567 states/eV per atom

Cell: 3.632 4.988 5.745 Å, 90.00 90.00 90.00°
Fractional coordinates of all 8 atoms:
Ho: 0.000 0.248 0.000
Ho: 0.500 0.752 0.500
C: 0.000 0.211 0.447
C: 0.500 0.789 0.947
N: 0.000 0.034 0.612
N: 0.000 0.460 0.384
N: 0.500 0.540 0.884
N: 0.500 0.966 0.112

Entry from Alexandria: Tm8RuAu2 after structural relaxation (GGA-PBE).

Computed properties:
Calculated total energy = -5.028 eV per atom
Energy relative to the lowest polymorph listed for this composition = 120 meV/atom
Calculated volume = 26.50 A^3/atom
Magnetic moment = 0.0 μB per formula unit
DOS at the Fermi energy = 0.997 states/eV per atom
DFT formation energy = -0.3373 eV/atom

Cell: 8.008 8.008 5.741 Å, 102.07 102.07 119.51°
Fractional coordinates of all 11 atoms:
Tm: 0.000 0.000 0.000
Tm: 0.017 0.253 0.564
Tm: 0.157 0.548 0.196
Tm: 0.253 0.017 0.564
Tm: 0.460 0.694 0.811
Tm: 0.548 0.157 0.196
Tm: 0.694 0.460 0.811
Tm: 0.715 0.715 0.397
Ru: 0.356 0.356 0.333
Au: 0.069 0.662 0.710
Au: 0.662 0.069 0.710

Entry from Alexandria: Ni2Ru3Rh6 after structural relaxation (GGA-PBE).

Computed properties:
Calculated total energy = -7.542 eV per atom
Calculated volume = 13.63 A^3/atom
Magnetic moment = 0.0 μB per formula unit
DOS at the Fermi energy = 1.332 states/eV per atom
DFT formation energy = 0.0486 eV/atom

Cell: 4.643 5.998 6.001 Å, 107.47 105.19 97.30°
Fractional coordinates of all 11 atoms:
Ni: 0.137 0.230 0.050
Ni: 0.863 0.770 0.950
Ru: 0.046 0.413 0.680
Ru: 0.500 0.500 0.500
Ru: 0.954 0.587 0.320
Rh: 0.221 0.046 0.404
Rh: 0.322 0.862 0.772
Rh: 0.403 0.677 0.134
Rh: 0.597 0.323 0.866
Rh: 0.678 0.138 0.228
Rh: 0.779 0.954 0.596

Entry from Alexandria: CdCoAg2 after structural relaxation (GGA-PBE).

Computed properties:
Calculated total energy = -3.168 eV per atom
Calculated volume = 17.04 A^3/atom
Magnetic moment = 1.7 μB per formula unit
DOS at the Fermi energy = 0.879 states/eV per atom
DFT formation energy = 0.2627 eV/atom

Cell: 9.646 9.646 9.646 Å, 17.16 17.16 17.16°
Fractional coordinates of all 4 atoms:
Cd: 0.000 0.000 0.000
Co: 0.500 0.500 0.500
Ag: 0.243 0.243 0.243
Ag: 0.757 0.757 0.757

Entry from Alexandria: KTc3O after structural relaxation (GGA-PBE).

Computed properties:
Calculated total energy = -6.451 eV per atom
Energy relative to the lowest polymorph listed for this composition = 0 meV/atom
Formation energy (no corrections) = 0.98 eV per atom
Calculated volume = 15.63 A^3/atom
Magnetic moment = 2.8 μB per formula unit
DOS at the Fermi energy = 1.058 states/eV per atom

Cell: 4.275 4.275 4.275 Å, 90.00 90.00 90.00°
Fractional coordinates of all 5 atoms:
K: 0.000 0.000 0.000
Tc: 0.000 0.500 0.500
Tc: 0.500 0.000 0.500
Tc: 0.500 0.500 0.000
O: 0.500 0.500 0.500

Entry from Alexandria: BiSe2O after structural relaxation (GGA-PBE).

Computed properties:
Calculated total energy = -3.465 eV per atom
Energy relative to the lowest polymorph listed for this composition = 479 meV/atom
Formation energy (no corrections) = 0.49 eV per atom
Calculated volume = 20.03 A^3/atom
Magnetic moment = 0.0 μB per formula unit
DOS at the Fermi energy = 1.493 states/eV per atom

Cell: 4.839 4.839 4.839 Å, 60.00 60.00 60.00°
Fractional coordinates of all 4 atoms:
Bi: 0.000 0.000 0.000
Se: 0.250 0.250 0.250
Se: 0.750 0.750 0.750
O: 0.500 0.500 0.500

Entry from Alexandria: Pm3Au after structural relaxation (GGA-PBE).

Computed properties:
Calculated total energy = -4.603 eV per atom
Energy relative to the lowest polymorph listed for this composition = 185 meV/atom
Calculated volume = 28.36 A^3/atom
Magnetic moment = 0.0 μB per formula unit
DOS at the Fermi energy = 1.443 states/eV per atom
DFT formation energy = -0.2205 eV/atom

Cell: 4.841 4.841 4.841 Å, 90.00 90.00 90.00°
Fractional coordinates of all 4 atoms:
Pm: 0.000 0.000 0.500
Pm: 0.000 0.500 0.000
Pm: 0.500 0.000 0.000
Au: 0.500 0.500 0.500

Entry from Alexandria: Cs3ZrGa after structural relaxation (GGA-PBE).

Computed properties:
Calculated total energy = -1.664 eV per atom
Calculated volume = 73.93 A^3/atom
Magnetic moment = 6.1 μB per formula unit
DOS at the Fermi energy = 1.035 states/eV per atom
DFT formation energy = 1.1634 eV/atom

Cell: 7.177 7.177 7.177 Å, 90.00 90.00 90.00°
Fractional coordinates of all 5 atoms:
Cs: 0.000 0.000 0.500
Cs: 0.000 0.500 0.000
Cs: 0.500 0.000 0.000
Zr: 0.000 0.000 0.000
Ga: 0.500 0.500 0.500

Entry from Alexandria: NdBiIr after structural relaxation (GGA-PBE).

Computed properties:
Calculated total energy = -5.995 eV per atom
Calculated volume = 26.04 A^3/atom
Magnetic moment = 0.0 μB per formula unit
DOS at the Fermi energy = 0.373 states/eV per atom
DFT formation energy = -0.1582 eV/atom

Cell: 5.692 5.692 5.692 Å, 139.15 139.15 59.15°
Fractional coordinates of all 3 atoms:
Nd: 0.000 0.000 0.000
Bi: 0.685 0.685 0.000
Ir: 0.397 0.397 0.000

Entry from Alexandria: Ac8SnGe5 after structural relaxation (GGA-PBE).

Computed properties:
Calculated total energy = -4.982 eV per atom
Calculated volume = 34.22 A^3/atom
Magnetic moment = 0.0 μB per formula unit
DOS at the Fermi energy = 0.071 states/eV per atom
DFT formation energy = -0.6997 eV/atom

Cell: 8.537 8.537 8.537 Å, 109.35 109.35 109.71°
Fractional coordinates of all 14 atoms:
Ac: 0.000 0.125 0.750
Ac: 0.241 0.496 0.611
Ac: 0.370 0.759 0.255
Ac: 0.375 0.250 0.250
Ac: 0.504 0.115 0.745
Ac: 0.750 0.000 0.126
Ac: 0.875 0.625 0.874
Ac: 0.885 0.630 0.389
Sn: 0.500 0.500 0.000
Ge: 0.000 0.376 0.126
Ge: 0.126 0.000 0.377
Ge: 0.251 0.874 0.874
Ge: 0.624 0.749 0.623
Ge: 0.750 0.250 0.500

Entry from Alexandria: TbCdSn after structural relaxation (GGA-PBE).

Computed properties:
Calculated total energy = -3.625 eV per atom
Calculated volume = 25.09 A^3/atom
Magnetic moment = 0.0 μB per formula unit
DOS at the Fermi energy = 0.487 states/eV per atom
DFT formation energy = -0.4425 eV/atom

Cell: 4.970 4.970 3.519 Å, 90.00 90.00 120.00°
Fractional coordinates of all 3 atoms:
Tb: 0.000 0.000 0.000
Cd: 0.333 0.667 0.503
Sn: 0.667 0.333 0.498